Record 1
# Li5Pt

An optimized crystal structure of Li5Pt (GGA-PBEsol, the Alexandria database).

## Properties
**Calculated density**: 4.02 g/cm3
**Space-group type**: Cm

Cell and atoms, written as extended XYZ:
```
6
Lattice="2.898 0.000 0.000 -1.449 5.183 -0.038 0.000 -2.019 6.340" Properties=species:S:1:pos:R:3 pbc="T T T"
Pt 1.449 0.269 5.944
Li 0.000 0.201 0.012
Li 0.000 3.466 1.378
Li 1.449 1.282 2.058
Li 0.000 -0.704 3.931
Li 0.000 1.859 4.549
```

---

Record 2
# Li4Pt

An optimized crystal structure of Li4Pt (GGA-PBEsol, the Alexandria database).

## Properties
**Calculated density**: 5.18 g/cm3
**Space-group type**: I4/m

Cell and atoms, written as extended XYZ:
```
5
Lattice="-1.987 3.119 -1.569 -2.731 2.344 2.976 2.232 4.098 0.177" Properties=species:S:1:pos:R:3 pbc="T T T"
Pt 0.000 0.000 0.000
Li -1.371 7.250 0.718
Li -0.337 4.794 -0.331
Li -1.116 2.312 0.866
Li -2.150 4.768 1.915
```

---

Record 3
# LiPt7

An optimized crystal structure of LiPt7 (GGA-PBEsol, the Alexandria database).

## Properties
**Calculated density**: 19.57 g/cm3
**Space-group type**: Fm-3m

Cell and atoms, written as extended XYZ:
```
8
Lattice="5.481 0.000 0.000 2.741 4.747 0.000 2.741 1.582 4.475" Properties=species:S:1:pos:R:3 pbc="T T T"
Li 5.481 3.165 2.238
Pt 0.000 0.000 0.000
Pt 2.741 0.000 0.000
Pt 2.741 3.165 2.238
Pt 1.370 2.373 0.000
Pt 4.111 0.791 2.238
Pt 1.370 0.791 2.238
Pt 4.111 2.373 0.000
```

---

DFT formation energy readings, ordered: -0.2271 -0.3038 -0.2445 eV per atom
Electronic total energy readings, ordered: -3.03 -3.27 -6.58 eV per atom